Record 1
Density functional theory data (GGA-PBEsol) for a relaxed structure of MgSiSe2.

- raw total energy (eV per atom) = -4.00
- ρ (g/cm³) = 4.3

Cell lengths 3.9502, 5.8094, 7.0764 Å; angles 90.00, 90.00, 90.00 degrees
Closest atoms and distances in Å follow each position.
Space group Cmmm (No. 65)
One atom of each set of equivalent atoms:
Mg: 0.0000 0.0000 0.0000 [2 per cell]  4 Se 2.65
Si: 0.0000 0.0000 0.5000 [2 per cell]  4 Se 2.65
Se: 0.0000 0.5000 0.2499 [4 per cell]  2 Mg 2.65, 2 Si 2.65

Record 2
Density functional theory data (GGA-PBEsol) for a relaxed structure of HfSiMoPb2.

- raw total energy (eV per atom) = -6.20
- ρ (g/cm³) = 8.8

Cell lengths 5.2682, 5.2682, 4.8870 Å; angles 90.00, 90.00, 90.00 degrees
Closest atoms and distances in Å follow each position.
Space group P4/mmm (No. 123)
One atom of each set of equivalent atoms:
Hf: 0.0000 0.0000 0.0000 [1 per cell]  2 Mo 2.44
Si: 0.5000 0.5000 0.0000 [1 per cell]  8 Pb 3.59, 4 Hf 3.73
Mo: 0.0000 0.0000 0.5000 [1 per cell]  2 Hf 2.44, 4 Pb 2.63
Pb: 0.0000 0.5000 0.5000 [2 per cell]  2 Mo 2.63

Record 3
Density functional theory data (GGA-PBEsol) for a relaxed structure of YZnOs2.

- raw total energy (eV per atom) = -7.93
- ρ (g/cm³) = 13.2
- ΔH_f (0 K) (eV/atom) = 0.28

Cell lengths 2.8711, 3.9468, 5.9506 Å; angles 90.00, 90.00, 90.00 degrees
Closest atoms and distances in Å follow each position.
Space group Pmmm (No. 47)
One atom of each set of equivalent atoms:
Y: 0.0000 0.0000 0.0000 [1 per cell]  2 Y 2.87, 2 Zn 2.98, 8 Os 3.02
Zn: 0.0000 0.0000 0.5000 [1 per cell]  8 Os 2.72, 2 Zn 2.87, 2 Y 2.98
Os: 0.5000 0.5000 0.2985 [2 per cell]  1 Os 2.40

Record 4
Density functional theory data (GGA-PBEsol) for a relaxed structure of Cs2LiNbPt.

- raw total energy (eV per atom) = -2.85
- ρ (g/cm³) = 6.2
- ΔH_f (0 K) (eV/atom) = 1.48

Cell lengths 5.3580, 5.3580, 5.2181 Å; angles 90.00, 90.00, 90.00 degrees
Closest atoms and distances in Å follow each position.
Space group P4/mmm (No. 123)
One atom of each set of equivalent atoms:
Cs: 0.0000 0.5000 0.0000 [2 per cell]  2 Li 2.68
Li: 0.0000 0.0000 0.0000 [1 per cell]  2 Nb 2.61, 4 Cs 2.68
Nb: 0.0000 0.0000 0.5000 [1 per cell]  2 Li 2.61
Pt: 0.5000 0.5000 0.5000 [1 per cell]  8 Cs 3.74, 4 Nb 3.79

Record 5
Density functional theory data (GGA-PBEsol) for a relaxed structure of CsNbCl6.

- raw total energy (eV per atom) = -4.45
- ρ (g/cm³) = 3.2

Cell lengths 12.0795, 6.3516, 12.2363 Å; angles 90.00, 101.76, 90.00 degrees
Closest atoms and distances in Å follow each position.
Space group C2/c (No. 15)
One atom of each set of equivalent atoms:
Cs: 0.0000 0.1073 0.2500 [4 per cell]  12 Cl 3.57-3.69
Nb: 0.2500 0.2500 0.0000 [4 per cell]  6 Cl 2.36-2.37
Cl: 0.0794 0.3894 0.8949 [8 per cell]  1 Nb 2.37
Cl: 0.1510 0.0531 0.5383 [8 per cell]  1 Nb 2.36
Cl: 0.2138 0.4152 0.1625 [8 per cell]  1 Nb 2.37

Record 6
Density functional theory data (GGA-PBEsol) for a relaxed structure of BaRh3Au.

- raw total energy (eV per atom) = -5.16
- ρ (g/cm³) = 9.1
- ΔH_f (0 K) (eV/atom) = 0.94

Cell lengths 4.8971, 4.8971, 4.8971 Å; angles 90.00, 90.00, 90.00 degrees
Closest atoms and distances in Å follow each position.
Space group Pm-3m (No. 221)
One atom of each set of equivalent atoms:
Ba: 0.0000 0.0000 0.0000 [1 per cell]  12 Rh 3.46
Rh: 0.0000 0.5000 0.5000 [3 per cell]  2 Au 2.45
Au: 0.5000 0.5000 0.5000 [1 per cell]  6 Rh 2.45

Record 7
Density functional theory data (GGA-PBEsol) for a relaxed structure of BaTl2Sb.

- raw total energy (eV per atom) = -3.45
- ρ (g/cm³) = 8.9
- excess energy over the best structure of this formula in the dataset (eV/atom) = 0.043

Cell lengths 4.9161, 4.9161, 5.1688 Å; angles 90.00, 90.00, 90.00 degrees
Closest atoms and distances in Å follow each position.
Space group P4/mmm (No. 123)
One atom of each set of equivalent atoms:
Ba: 0.0000 0.0000 0.0000 [1 per cell]  4 Sb 3.48, 8 Tl 3.57
Tl: 0.0000 0.5000 0.5000 [2 per cell]  4 Tl 3.48, 4 Ba 3.57, 4 Sb 3.57
Sb: 0.5000 0.5000 0.0000 [1 per cell]  4 Ba 3.48, 8 Tl 3.57

Record 8
Density functional theory data (GGA-PBEsol) for a relaxed structure of Rb3HfF.

- raw total energy (eV per atom) = -3.16
- ρ (g/cm³) = 4.1

Cell lengths 5.6944, 5.6944, 5.6944 Å; angles 90.00, 90.00, 90.00 degrees
Closest atoms and distances in Å follow each position.
Space group Pm-3m (No. 221)
One atom of each set of equivalent atoms:
Rb: 0.0000 0.0000 0.5000 [3 per cell]  2 F 2.85
Hf: 0.5000 0.5000 0.5000 [1 per cell]  12 Rb 4.03
F: 0.0000 0.0000 0.0000 [1 per cell]  6 Rb 2.85

Record 9
Density functional theory data (GGA-PBEsol) for a relaxed structure of NiS2O.

- raw total energy (eV per atom) = -4.89
- ρ (g/cm³) = 3.9

Cell lengths 4.7608, 4.7608, 10.3423 Å; angles 90.00, 90.00, 90.00 degrees
Closest atoms and distances in Å follow each position.
Space group I-42d (No. 122)
One atom of each set of equivalent atoms:
Ni: 0.0000 0.0000 0.0000 [4 per cell]  4 S 2.10
S: 0.2421 0.2500 0.1250 [8 per cell]  2 Ni 2.10, 2 O 2.14
O: 0.0000 0.0000 0.5000 [4 per cell]  4 S 2.14

Record 10
Density functional theory data (GGA-PBEsol) for a relaxed structure of BiSe2NF.

- raw total energy (eV per atom) = -3.64
- ρ (g/cm³) = 7.3

Cell lengths 4.3862, 4.3862, 4.7238 Å; angles 90.00, 90.00, 90.00 degrees
Closest atoms and distances in Å follow each position.
Space group P4/mmm (No. 123)
One atom of each set of equivalent atoms:
Bi: 0.0000 0.0000 0.0000 [1 per cell]  4 N 3.10, 8 Se 3.22
Se: 0.0000 0.5000 0.5000 [2 per cell]  2 F 2.19
N: 0.5000 0.5000 0.0000 [1 per cell]  2 F 2.36
F: 0.5000 0.5000 0.5000 [1 per cell]  4 Se 2.19, 2 N 2.36

Record 11
Density functional theory data (GGA-PBEsol) for a relaxed structure of TmCuS2.

- raw total energy (eV per atom) = -5.91
- ρ (g/cm³) = 6.4

Cell lengths 13.0627, 3.8519, 6.1276 Å; angles 90.00, 90.00, 90.00 degrees
Closest atoms and distances in Å follow each position.
Space group Pnma (No. 62)
One atom of each set of equivalent atoms:
Tm: 0.1323 0.2500 0.0046 [4 per cell]  6 S 2.60-2.73
Cu: 0.0432 0.7500 0.3712 [4 per cell]  4 S 2.27-2.35
S: 0.0423 0.7500 0.7529 [4 per cell]  3 Cu 2.34-2.35
S: 0.2060 0.7500 0.2420 [4 per cell]  1 Cu 2.27

Record 12
Density functional theory data (GGA-PBEsol) for a relaxed structure of KTaIr2.

- raw total energy (eV per atom) = -7.35
- ρ (g/cm³) = 15.2
- ΔH_f (0 K) (eV/atom) = 0.98
- excess energy over the best structure of this formula in the dataset (eV/atom) = 0.331

Cell lengths 6.4226, 6.4226, 6.4226 Å; angles 90.00, 90.00, 90.00 degrees
Closest atoms and distances in Å follow each position.
Space group F-43m (No. 216)
One atom of each set of equivalent atoms:
K: 0.0000 0.0000 0.0000 [4 per cell]  4 Ta 2.78, 4 Ir 2.78
Ta: 0.2500 0.2500 0.7500 [4 per cell]  4 K 2.78, 4 Ir 2.78
Ir: 0.0000 0.0000 0.5000 [4 per cell]  4 Ta 2.78, 4 Ir 2.78
Ir: 0.2500 0.2500 0.2500 [4 per cell]  4 K 2.78, 4 Ir 2.78

Record 13
Density functional theory data (GGA-PBEsol) for a relaxed structure of CoCuPb2.

- raw total energy (eV per atom) = -4.53
- ρ (g/cm³) = 11.7
- ΔH_f (0 K) (eV/atom) = 0.49
- excess energy over the best structure of this formula in the dataset (eV/atom) = 0.149

Cell lengths 3.3329, 3.3329, 23.7471 Å; angles 90.00, 90.00, 120.00 degrees
Closest atoms and distances in Å follow each position.
Space group R-3m (No. 166, hexagonal axes)
One atom of each set of equivalent atoms:
Co: 0.0000 0.0000 0.0000 [3 per cell]  6 Pb 2.70
Cu: 0.0000 0.0000 0.5000 [3 per cell]  6 Pb 2.82
Pb: 0.0000 0.0000 0.2535 [6 per cell]  3 Co 2.70, 3 Cu 2.82

Record 14
Density functional theory data (GGA-PBEsol) for a relaxed structure of SeBr3O.

- raw total energy (eV per atom) = -2.23
- ρ (g/cm³) = 5.5
- excess energy over the best structure of this formula in the dataset (eV/atom) = 0.059

Cell lengths 4.6579, 4.6579, 4.6579 Å; angles 90.00, 90.00, 90.00 degrees
Closest atoms and distances in Å follow each position.
Space group Pm-3m (No. 221)
One atom of each set of equivalent atoms:
Se: 0.0000 0.0000 0.0000 [1 per cell]  12 Br 3.29
Br: 0.0000 0.5000 0.5000 [3 per cell]  2 O 2.33
O: 0.5000 0.5000 0.5000 [1 per cell]  6 Br 2.33

Record 15
Density functional theory data (GGA-PBEsol) for a relaxed structure of AgAu3S.

- raw total energy (eV per atom) = -3.30
- ρ (g/cm³) = 11.9
- excess energy over the best structure of this formula in the dataset (eV/atom) = 0.000

Cell lengths 4.6764, 4.6764, 4.6764 Å; angles 90.00, 90.00, 90.00 degrees
Closest atoms and distances in Å follow each position.
Space group Pm-3m (No. 221)
One atom of each set of equivalent atoms:
Ag: 0.0000 0.0000 0.0000 [1 per cell]  12 Au 3.31
Au: 0.0000 0.5000 0.5000 [3 per cell]  2 S 2.34
S: 0.5000 0.5000 0.5000 [1 per cell]  6 Au 2.34

Record 16
Density functional theory data (GGA-PBEsol) for a relaxed structure of LaPt2Rh.

- raw total energy (eV per atom) = -7.49
- ρ (g/cm³) = 12.8
- ΔH_f (0 K) (eV/atom) = -0.64

Cell lengths 4.4749, 4.4749, 14.1707 Å; angles 90.00, 90.00, 120.00 degrees
Closest atoms and distances in Å follow each position.
Space group R3m (No. 160, hexagonal axes)
One atom of each set of equivalent atoms:
La: 0.0000 0.0000 0.0000 [3 per cell]  1 Rh 2.70, 1 Pt 2.84
Pt: 0.0000 0.0000 0.5143 [3 per cell]  3 Rh 2.59, 3 Pt 2.67
Pt: 0.0000 0.0000 0.7997 [3 per cell]  3 Pt 2.67, 3 Rh 2.71, 1 La 2.84
Rh: 0.0000 0.0000 0.1907 [3 per cell]  6 Pt 2.59-2.71, 1 La 2.70

Record 17
Density functional theory data (GGA-PBEsol) for a relaxed structure of Zn8Cu.

- raw total energy (eV per atom) = -1.89
- ρ (g/cm³) = 7.9
- ΔH_f (0 K) (eV/atom) = 0.00

Cell lengths 8.0574, 8.0574, 3.7850 Å; angles 90.00, 90.00, 90.00 degrees
Closest atoms and distances in Å follow each position.
Space group I4/mmm (No. 139)
One atom of each set of equivalent atoms:
Zn: 0.0000 0.3305 0.0000 [8 per cell]  1 Cu 2.66, 11 Zn 2.67-2.73
Zn: 0.1638 0.1638 0.5000 [8 per cell]  10 Zn 2.64-2.73, 2 Cu 2.66
Cu: 0.0000 0.0000 0.0000 [2 per cell]  12 Zn 2.66

Record 18
Density functional theory data (GGA-PBEsol) for a relaxed structure of As2Pb.

- raw total energy (eV per atom) = -4.67
- ρ (g/cm³) = 8.3
- ΔH_f (0 K) (eV/atom) = 0.07
- excess energy over the best structure of this formula in the dataset (eV/atom) = 0.019

Cell lengths 11.4681, 3.5712, 8.3514 Å; angles 90.00, 123.52, 90.00 degrees
Closest atoms and distances in Å follow each position.
Space group C2/m (No. 12)
One atom of each set of equivalent atoms:
As: 0.0081 0.0000 0.2267 [4 per cell]  2 As 2.53
As: 0.1013 0.5000 0.4832 [4 per cell]  3 As 2.49-2.53
Pb: 0.2032 0.5000 0.1436 [4 per cell]  7 As 3.17-3.22

Record 19
Density functional theory data (GGA-PBEsol) for a relaxed structure of CdInSe2N.

- raw total energy (eV per atom) = -3.25
- ρ (g/cm³) = 5.7

Cell lengths 5.2988, 5.2988, 4.1091 Å; angles 90.00, 90.00, 90.00 degrees
Closest atoms and distances in Å follow each position.
Space group P4/mmm (No. 123)
One atom of each set of equivalent atoms:
Cd: 0.0000 0.0000 0.0000 [1 per cell]  2 N 2.05
In: 0.5000 0.5000 0.5000 [1 per cell]  8 Se 3.35, 4 N 3.75
Se: 0.0000 0.5000 0.0000 [2 per cell]  2 Cd 2.65
N: 0.0000 0.0000 0.5000 [1 per cell]  2 Cd 2.05

Record 20
Density functional theory data (GGA-PBEsol) for a relaxed structure of Nb3O7F.

- raw total energy (eV per atom) = -9.03
- ρ (g/cm³) = 4.3
- excess energy over the best structure of this formula in the dataset (eV/atom) = 0.000

Cell lengths 15.8220, 10.4652, 3.8371 Å; angles 90.00, 90.00, 90.00 degrees
Closest atoms and distances in Å follow each position.
Space group Pnma (No. 62)
One atom of each set of equivalent atoms:
Nb: 0.0396 0.2500 0.0406 [4 per cell]  4 O 1.84-2.01
Nb: 0.1666 0.5537 0.0017 [8 per cell]  4 O 1.81-2.01
O: 0.0288 0.2500 0.5180 [4 per cell]  2 Nb 1.84-2.01
O: 0.0621 0.6247 0.9922 [8 per cell]  1 Nb 1.81
O: 0.1220 0.1125 0.0091 [8 per cell]  2 Nb 1.88-1.95
O: 0.2039 0.5476 0.5032 [8 per cell]  2 Nb 2.00-2.01
F: 0.2119 0.7500 0.0071 [4 per cell]  2 Nb 2.18

Record 21
Density functional theory data (GGA-PBEsol) for a relaxed structure of Li4VB2O6.

- raw total energy (eV per atom) = -7.00
- ρ (g/cm³) = 2.8

Cell lengths 7.7056, 9.1395, 3.3037 Å; angles 90.00, 90.00, 90.00 degrees
Closest atoms and distances in Å follow each position.
Space group Pnnm (No. 58)
One atom of each set of equivalent atoms:
Li: 0.0097 0.2009 0.0000 [4 per cell]  4 O 1.86-2.00
Li: 0.1756 0.0540 0.5000 [4 per cell]  4 O 1.91-2.03
V: 0.0000 0.5000 0.5000 [2 per cell]  6 O 2.17-2.28
B: 0.2274 0.7979 0.5000 [4 per cell]  3 O 1.36-1.41
O: 0.0701 0.8652 0.5000 [4 per cell]  1 B 1.36
O: 0.1209 0.3849 0.0000 [4 per cell]  1 B 1.41
O: 0.2396 0.6461 0.5000 [4 per cell]  1 B 1.39

Record 22
Density functional theory data (GGA-PBEsol) for a relaxed structure of IrC3.

- raw total energy (eV per atom) = -8.48
- ρ (g/cm³) = 11.0
- ΔH_f (0 K) (eV/atom) = 1.21
- excess energy over the best structure of this formula in the dataset (eV/atom) = 0.000

Cell lengths 2.9225, 6.1181, 3.8702 Å; angles 90.00, 90.00, 90.00 degrees
Closest atoms and distances in Å follow each position.
Space group Imm2 (No. 44)
One atom of each set of equivalent atoms:
Ir: 0.0000 0.0000 0.0000 [2 per cell]  8 C 2.11-2.21
C: 0.0000 0.3293 0.1656 [4 per cell]  1 C 1.44
C: 0.0000 0.5000 0.9096 [2 per cell]  2 C 1.44

Record 23
Density functional theory data (GGA-PBEsol) for a relaxed structure of BeCrB2H.

- raw total energy (eV per atom) = -4.46
- ρ (g/cm³) = 2.2

Cell lengths 3.8033, 3.8033, 4.3034 Å; angles 90.00, 90.00, 90.00 degrees
Closest atoms and distances in Å follow each position.
Space group P4/mmm (No. 123)
One atom of each set of equivalent atoms:
Be: 0.0000 0.0000 0.0000 [1 per cell]  2 Cr 2.15
Cr: 0.0000 0.0000 0.5000 [1 per cell]  4 B 1.90
B: 0.0000 0.5000 0.5000 [2 per cell]  2 Cr 1.90
H: 0.5000 0.5000 0.0000 [1 per cell]  4 Be 2.69, 8 B 2.87

Record 24
Density functional theory data (GGA-PBEsol) for a relaxed structure of YHfTl2Re.

- raw total energy (eV per atom) = -5.40
- ρ (g/cm³) = 10.5
- ΔH_f (0 K) (eV/atom) = 1.79

Cell lengths 5.4093, 5.4093, 4.6812 Å; angles 90.00, 90.00, 90.00 degrees
Closest atoms and distances in Å follow each position.
Space group P4/mmm (No. 123)
One atom of each set of equivalent atoms:
Y: 0.0000 0.0000 0.0000 [1 per cell]  2 Re 2.34
Hf: 0.5000 0.5000 0.5000 [1 per cell]  8 Tl 3.58, 4 Re 3.82
Tl: 0.0000 0.5000 0.0000 [2 per cell]  2 Y 2.70
Re: 0.0000 0.0000 0.5000 [1 per cell]  2 Y 2.34